No. 1
An optimized crystal structure of SrGa2AgHg, computed with PBE. Values from VASP.

Values from the calculation:
- DFT formation energy: 0.85 eV/atom
- Space-group type: P4/mmm, No. 123

```
&SYSTEM
  ibrav = 0, nat = 5, ntyp = 4
/
ATOMIC_SPECIES
Sr 87.62 Sr.upf
Ga 69.72 Ga.upf
Ag 107.87 Ag.upf
Hg 200.59 Hg.upf
CELL_PARAMETERS angstrom
5.9787 0.0000 0.0000
0.0000 5.9787 0.0000
0.0000 0.0000 6.0217
ATOMIC_POSITIONS crystal
Sr 0.0000 0.0000 0.0000
Ga 0.0000 0.5000 0.0000
Ga 0.5000 0.0000 0.0000
Ag 0.5000 0.5000 0.5000
Hg 0.0000 0.0000 0.5000
```

=====

No. 2
An optimized crystal structure of SrGaAgHg2, computed with PBE. Values from VASP.

Values from the calculation:
- DFT formation energy: -0.15 eV/atom
- Space-group type: P4/mmm, No. 123

```
&SYSTEM
  ibrav = 0, nat = 5, ntyp = 4
/
ATOMIC_SPECIES
Sr 87.62 Sr.upf
Ga 69.72 Ga.upf
Ag 107.87 Ag.upf
Hg 200.59 Hg.upf
CELL_PARAMETERS angstrom
5.2725 0.0000 0.0000
0.0000 5.2725 0.0000
0.0000 0.0000 5.0485
ATOMIC_POSITIONS crystal
Sr 0.0000 0.0000 0.0000
Ga 0.5000 0.5000 0.5000
Ag 0.5000 0.5000 0.0000
Hg 0.0000 0.5000 0.5000
Hg 0.5000 0.0000 0.5000
```

=====

No. 3
An optimized crystal structure of SrGaAg2Hg, computed with PBE. Values from VASP.

Values from the calculation:
- DFT formation energy: -0.23 eV/atom
- Space-group type: Imm2, No. 44
- Energy relative to the lowest polymorph listed for this composition: 0 meV/atom

```
&SYSTEM
  ibrav = 0, nat = 5, ntyp = 4
/
ATOMIC_SPECIES
Sr 87.62 Sr.upf
Ga 69.72 Ga.upf
Ag 107.87 Ag.upf
Hg 200.59 Hg.upf
CELL_PARAMETERS angstrom
-2.1884 2.2163 6.2973
2.1884 -2.2163 6.2973
2.1884 2.2163 -6.2973
ATOMIC_POSITIONS crystal
Sr 0.0000 0.0000 0.0000
Ga 0.2363 0.7363 0.5000
Ag 0.6091 0.6091 0.0000
Ag 0.7445 0.2445 0.5000
Hg 0.3863 0.3863 0.0000
```

=====

Number 1: uncorrected energy -6.7 eV/cell. Number 2: uncorrected energy -8.9 eV/cell. Number 3: uncorrected energy -11.9 eV/cell.